(1)
TbPmYIn | Alexandria | PBE | relaxed; symmetry = Pmmm (47); theoretical density = 7.182 g cm⁻³; distance to the lowest polymorph of the same formula = 0.000 eV per formula unit; density of states at the Fermi level = 5.81 states/eV per cell
1.0
4.8812 0.0000 0.0000
0.0000 4.8637 0.0000
0.0000 0.0000 4.9438
Tb Pm Y In
1 1 1 1
Direct
0.5000 0.0000 0.5000
0.0000 0.5000 0.5000
0.0000 0.0000 0.0000
0.5000 0.5000 0.0000


(2)
Tb6Pm2Y3In | Alexandria | PBE | relaxed; symmetry = C2/m (12); VASP energy = -5.0017 eV/atom; theoretical density = 7.167 g cm⁻³; density of states at the Fermi level = 15.79 states/eV per cell
1.0
-2.2922 -3.5720 -4.4226
6.0614 0.3191 0.8546
-1.8451 -7.7569 8.6401
Tb Pm Y In
6 2 3 1
Direct
0.9174 0.5902 0.7515
0.7558 0.7558 0.2495
0.0826 0.4098 0.2485
0.5902 0.9174 0.7515
0.2442 0.2442 0.7505
0.4098 0.0826 0.2485
0.3339 0.6661 0.0000
0.6661 0.3339 0.0000
0.1667 0.8333 0.5000
0.8333 0.1667 0.5000
0.5000 0.5000 0.5000
0.0000 0.0000 0.0000


(3)
Tb3Pm2Y6In | Alexandria | PBE | relaxed; symmetry = C2/m (12); VASP energy = -5.4636 eV/atom; theoretical density = 6.237 g cm⁻³; density of states at the Fermi level = 16.58 states/eV per cell
1.0
6.1325 -0.0024 0.0011
-3.0668 5.3106 0.0011
-1.0276 -1.7792 11.5694
Tb Pm Y In
3 2 6 1
Direct
0.1665 0.8335 0.5000
0.8335 0.1665 0.5000
0.5000 0.5000 0.5000
0.3338 0.6662 0.0000
0.6662 0.3338 0.0000
0.9178 0.5910 0.7521
0.7556 0.7556 0.2489
0.0822 0.4090 0.2479
0.5910 0.9178 0.7521
0.2444 0.2444 0.7511
0.4090 0.0822 0.2479
0.0000 0.0000 0.0000


(4)
TbPmYIn | Alexandria | PBE | relaxed; symmetry = F-43m (216); theoretical density = 7.165 g cm⁻³; distance to the lowest polymorph of the same formula = 0.629 eV per formula unit; density of states at the Fermi level = 5.68 states/eV per cell
1.0
-4.2310 1.8983 -2.9574
-0.6310 -1.5846 -5.2290
-4.1255 -3.3680 -1.3742
Y In Tb Pm
1 1 1 1
Direct
0.2500 0.2500 0.2500
0.0000 0.0000 0.0000
0.7500 0.7500 0.7500
0.5000 0.5000 0.5000


(5)
TbPmZnIn | Alexandria | PBE | relaxed; symmetry = P4mm (99); theoretical density = 7.806 g cm⁻³; distance to the lowest polymorph of the same formula = 0.000 eV per formula unit; density of states at the Fermi level = 3.47 states/eV per cell
1.0
3.6899 0.0000 0.0000
0.0000 3.6899 0.0000
0.0000 0.0000 7.5646
Tb Pm Zn In
1 1 1 1
Direct
0.5000 0.5000 0.5863
0.5000 0.5000 0.1254
0.0000 0.0000 0.3680
0.0000 0.0000 0.8483


(6)
TbPmZnIn | Alexandria | PBE | relaxed; symmetry = F-43m (216); theoretical density = 7.707 g cm⁻³; distance to the lowest polymorph of the same formula = 0.085 eV per formula unit; density of states at the Fermi level = 4.14 states/eV per cell
1.0
-1.1421 1.0356 -5.0541
1.7635 -3.2007 -3.8165
-3.3844 -3.0897 -2.6305
Zn In Tb Pm
1 1 1 1
Direct
0.0000 0.0000 0.0000
0.5000 0.5000 0.5000
0.7500 0.7500 0.7500
0.2500 0.2500 0.2500


(7)
TbPmZrIn | Alexandria | PBE | relaxed; symmetry = F-43m (216); VASP energy = -5.2227 eV/atom; theoretical density = 7.588 g cm⁻³; density of states at the Fermi level = 3.66 states/eV per cell
1.0
-0.1050 5.4001 -0.1769
-4.1684 2.5473 -2.3107
-3.5228 2.7355 3.0513
In Tb Zr Pm
1 1 1 1
Direct
0.2500 0.2500 0.2500
0.5000 0.5000 0.5000
0.7500 0.7500 0.7500
0.0000 0.0000 0.0000


(8)
Pm6InTc2 | Alexandria | PBE | relaxed; symmetry = Immm (71); VASP energy = -5.8828 eV/atom; theoretical density = 7.608 g cm⁻³; density of states at the Fermi level = 17.89 states/eV per cell
1.0
-6.7141 -1.4313 -5.4409
7.2793 2.3052 -4.2930
2.0939 -7.2852 4.3901
Pm In Tc
12 2 4
Direct
0.5239 0.7156 0.8083
0.4761 0.2844 0.1917
0.0927 0.2844 0.8083
0.9073 0.7156 0.1917
0.7850 0.7679 0.5529
0.2150 0.2321 0.4471
0.2150 0.7679 0.9829
0.7850 0.2321 0.0171
0.7079 0.3937 0.6858
0.2921 0.6063 0.3142
0.2921 0.9779 0.6858
0.7079 0.0221 0.3142
0.0000 0.5000 0.5000
0.0000 0.0000 0.0000
0.5000 0.3877 0.8877
0.5000 0.6123 0.1123
0.6219 0.0000 0.6219
0.3781 0.0000 0.3781


(9)
Pm2InTc | Alexandria | PBE | relaxed; symmetry = P4/mmm (123); theoretical density = 8.245 g cm⁻³; distance to the lowest polymorph of the same formula = 0.000 eV per formula unit; density of states at the Fermi level = 4.73 states/eV per cell
1.0
-0.4693 -1.2935 3.3578
1.6725 -3.0766 -0.9514
6.7520 3.0190 2.1066
In Tc Pm
1 1 2
Direct
0.5000 0.5000 0.5000
0.5000 0.5000 0.0000
0.0000 0.0000 0.7849
0.0000 0.0000 0.2151


(10)
Pm2InTc | Alexandria | PBE | relaxed; symmetry = Fm-3m (225); theoretical density = 8.373 g cm⁻³; distance to the lowest polymorph of the same formula = 0.311 eV per formula unit; density of states at the Fermi level = 4.08 states/eV per cell
1.0
-3.2271 -1.2277 3.8952
-1.4774 -4.9424 0.6961
1.7640 -2.6921 4.0908
In Tc Pm
1 1 2
Direct
0.5000 0.5000 0.5000
0.0000 0.0000 0.0000
0.2500 0.2500 0.2500
0.7500 0.7500 0.7500


(11)
Pm6In2Tc | Alexandria | PBE | relaxed; symmetry = Amm2 (38); VASP energy = -5.1512 eV/atom; theoretical density = 7.450 g cm⁻³; density of states at the Fermi level = 10.35 states/eV per cell
1.0
-1.6967 0.6335 -3.5359
-0.2420 -8.7184 -1.4458
-6.7480 4.0135 3.9570
Pm In Tc
6 2 1
Direct
0.5000 0.6044 0.0000
0.5000 0.3882 0.3905
0.5000 0.9977 0.6095
0.0000 0.2449 0.0000
0.0000 0.7598 0.7649
0.0000 0.9949 0.2351
0.0000 0.3298 0.6632
0.0000 0.6666 0.3368
0.5000 0.0139 0.0000


(12)
Pm3InTc | Alexandria | PBE | relaxed; symmetry = Pm-3m (221); VASP energy = -5.4348 eV/atom; theoretical density = 6.928 g cm⁻³; density of states at the Fermi level = 3.54 states/eV per cell
1.0
5.3749 0.0000 0.0000
0.0000 5.3749 0.0000
0.0000 0.0000 5.3749
In Tc Pm
1 1 3
Direct
0.5000 0.5000 0.5000
0.0000 0.0000 0.0000
0.0000 0.5000 0.0000
0.0000 0.0000 0.5000
0.5000 0.0000 0.0000


- The highest theoretical density belongs to which entry?
  number 10


- Number 11 is which compound?
  Pm6In2Tc


- What is the density of states at the Fermi level in the eighth record?
  17.89 states/eV per cell